1.
A relaxed MgAlAs crystal, computed with PBEsol.

Its density of states at the Fermi level is 2.92 states/eV/cell. As for the uncorrected energy: -22.3 eV per cell. Its total moment is 0.0 μB/f.u. The energy of formation is -0.076 eV per atom.

The structure belongs to space group I4mm (No. 107); the cell edges are 3.497, 3.497 and 9.204 Å and the angles 90.00°, 90.00° and 90.00°. The inequivalent atoms are Mg at (0.000, 0.000, 0.000), Al at (0.000, 0.000, 0.308) and As at (0.000, 0.000, 0.688).

2.
A relaxed Ba2LaAs crystal, computed with PBEsol.

Its density of states at the Fermi level is 27.22 states/eV/cell. As for the uncorrected energy: -61.4 eV per cell. Its total moment is 0.0 μB/f.u. The energy of formation is -0.147 eV per atom.

The structure belongs to space group F-43m (No. 216); the cell edges are 7.946, 7.946 and 7.946 Å and the angles 90.00°, 90.00° and 90.00°. The inequivalent atoms are Ba at (0.000, 0.000, 0.000), Ba at (0.250, 0.250, 0.250), La at (0.000, 0.000, 0.500) and As at (0.250, 0.250, 0.750).

3.
A relaxed MgZn2Cl crystal, computed with PBEsol.

As for the uncorrected formation energy: 0.0377 eV/atom. Its density of states at the Fermi level is 12.35 states/eV/cell. As for the uncorrected energy: -27.0 eV per cell. Its total moment is 0.0 μB/f.u.

The structure belongs to space group F-43m (No. 216); the cell edges are 6.817, 6.817 and 6.817 Å and the angles 90.00°, 90.00° and 90.00°. The inequivalent atoms are Mg at (0.000, 0.000, 0.000), Zn at (0.000, 0.000, 0.500), Zn at (0.250, 0.250, 0.250) and Cl at (0.250, 0.250, 0.750).